1.
This record from the Alexandria database describes an optimized crystal structure of TcBr2Cl. The functional is PBE.

Cell lengths 3.109, 3.109, 9.895 Å; angles 90.00, 90.00, 90.00 degrees
Fractional coordinates of all 4 atoms:
Tc 0.000 0.000 0.000
Br 0.000 0.000 0.468
Br 0.500 0.500 0.145
Cl 0.500 0.500 0.839

Results
formation energy without anion corrections = 0.30 eV per atom
total DFT energy (no corrections) = -3.59 eV per atom



2.
This record from the Alexandria database describes an optimized crystal structure of Nd3Dy2Tl6. The functional is PBE.

Cell lengths 15.025, 15.025, 15.025 Å; angles 161.43, 161.43, 26.38 degrees
Fractional coordinates of all 11 atoms:
Nd 0.000 0.000 0.000
Nd 0.199 0.199 0.000
Nd 0.801 0.801 0.000
Dy 0.446 0.446 0.000
Dy 0.554 0.554 0.000
Tl 0.117 0.617 0.500
Tl 0.307 0.307 0.000
Tl 0.383 0.883 0.500
Tl 0.617 0.117 0.500
Tl 0.693 0.693 0.000
Tl 0.883 0.383 0.500

Results
total DFT energy (no corrections) = -3.54 eV per atom



3.
This record from the Alexandria database describes an optimized crystal structure of BeAlPt2. The functional is PBE.

Cell lengths 4.397, 4.397, 4.397 Å; angles 126.44, 126.44, 79.17 degrees
Fractional coordinates of all 4 atoms:
Be 0.000 0.000 0.000
Al 0.500 0.500 0.000
Pt 0.250 0.750 0.500
Pt 0.750 0.250 0.500

Results
total DFT energy (no corrections) = -5.73 eV per atom